VASP calculation (GGA+U) on crystalline Na2HfCrO4 at its relaxed geometry.

calculated total energy: -7.343 eV/atom

a = 5.857 Å, b = 3.139 Å, c = 5.961 Å
α = 90.00°, β = 113.86°, γ = 90.00°
Space group P2/m (No. 10)
One atom of each set of equivalent atoms:
Na 0.000 0.000 0.000 x1
Na 0.500 0.500 0.000 x1
Hf 0.000 0.500 0.500 x1
Cr 0.500 0.000 0.500 x1
O 0.203 0.000 0.730 x2
O 0.251 0.500 0.324 x2